Material: Tb3Pm6Er
Method: DFT, PBE
State: relaxed

Output
* spin magnetization: 0.0 μB/f.u.
* ΔH_f (0 K): 0.1420 eV per atom

Cell lengths 10.9712, 19.2611, 6.3608 Å; angles 90.00, 90.00, 90.00 degrees
Closest atoms and distances in Å follow each position.
Space group Cmc2_1 (No. 36)
Inequivalent atoms, fractional coordinates:
Tb 0.0000 0.1143 0.0000 [4 per cell]  7 Pm 3.43-3.78, 1 Er 3.66, 2 Tb 3.69
Tb 0.1698 0.3857 0.3868 [8 per cell]  1 Er 3.30, 6 Pm 3.30-3.58, 1 Tb 3.69
Pm 0.0000 0.2215 0.5705 [4 per cell]  4 Pm 3.15-3.48, 1 Er 3.37, 1 Tb 3.43
Pm 0.0000 0.4628 0.8080 [4 per cell]  1 Er 3.39, 4 Pm 3.49-3.78, 4 Tb 3.50-3.58
Pm 0.1687 0.0429 0.4707 [8 per cell]  4 Tb 3.47-3.78, 5 Pm 3.50-3.78
Pm 0.2331 0.2101 0.2834 [8 per cell]  3 Pm 3.15-3.50, 2 Tb 3.30-3.51, 2 Er 3.36-3.50
Er 0.0000 0.3040 0.0376 [4 per cell]  3 Tb 3.30-3.66, 6 Pm 3.36-3.50